An optimized crystal structure of CePmV2O8. Source: the Alexandria database, functional PBE+U.

The total energy is -8.10 eV/atom. As for the crystal system: tetragonal.

The space group is I-4 (No. 82) and the conventional cell measures 5.181, 5.181 and 11.588 Å, with angles of 90.00, 90.00 and 90.00 degrees. Symmetry generates all atoms from Ce at (0.000, 0.000, 0.000), Pm at (0.000, 0.500, 0.250), V at (0.000, 0.000, 0.500), V at (0.000, 0.500, 0.750), O at (0.146, 0.748, 0.830) and O at (0.151, 0.260, 0.422).